[1]
The following is a GGA-PBE calculation of an optimized crystal structure of Ac12HgPb7, from Alexandria.

Cell and atoms, written as CIF:
```
data_Ac12HgPb7
_chemical_formula_sum 'Ac36 Hg3 Pb21'
_symmetry_space_group_name_H-M 'R -3'
_symmetry_Int_Tables_number 148
_symmetry_space_group_name_Hall '-R 3'
_cell_length_a 16.0116
_cell_length_b 16.0116
_cell_length_c 10.6210
_cell_angle_alpha 90.00
_cell_angle_beta 90.00
_cell_angle_gamma 120.00
loop_
_atom_site_label
_atom_site_type_symbol
_atom_site_fract_x
_atom_site_fract_y
_atom_site_fract_z
Ac1 Ac 0.0391 0.7880 0.0779
Ac2 Ac 0.0400 0.8651 0.7017
Hg1 Hg 0.0000 0.0000 0.5000
Pb1 Pb 0.0000 0.0000 0.0000
Pb2 Pb 0.0621 0.5920 0.0765
```

## Properties
The value obtained for the formation energy is -0.340 eV per atom.

---

[2]
The following is a GGA-PBE calculation of an optimized crystal structure of YZnHgW2, from Alexandria.

Cell and atoms, written as CIF:
```
data_YZnHgW2
_chemical_formula_sum 'Y1 Zn1 Hg1 W2'
_symmetry_space_group_name_H-M 'P 4/m m m'
_symmetry_Int_Tables_number 123
_symmetry_space_group_name_Hall '-P 4 2'
_cell_length_a 4.9959
_cell_length_b 4.9959
_cell_length_c 5.1855
_cell_angle_alpha 90.00
_cell_angle_beta 90.00
_cell_angle_gamma 90.00
loop_
_atom_site_label
_atom_site_type_symbol
_atom_site_fract_x
_atom_site_fract_y
_atom_site_fract_z
Y1 Y 0.0000 0.0000 0.0000
Zn1 Zn 0.0000 0.0000 0.5000
Hg1 Hg 0.5000 0.5000 0.5000
W1 W 0.0000 0.5000 0.0000
```

## Properties
The value obtained for the formation energy is 2.471 eV per atom.

---

[3]
The following is a GGA-PBE calculation of an optimized crystal structure of La4Dy3Y4, from Alexandria.

Cell and atoms, written as CIF:
```
data_La4Dy3Y4
_chemical_formula_sum 'La8 Dy6 Y8'
_symmetry_space_group_name_H-M 'I m m m'
_symmetry_Int_Tables_number 71
_symmetry_space_group_name_Hall '-I 2 2'
_cell_length_a 3.6178
_cell_length_b 9.4704
_cell_length_c 22.3976
_cell_angle_alpha 90.00
_cell_angle_beta 90.00
_cell_angle_gamma 90.00
loop_
_atom_site_label
_atom_site_type_symbol
_atom_site_fract_x
_atom_site_fract_y
_atom_site_fract_z
La1 La 0.0000 0.1689 0.1437
Dy1 Dy 0.0000 0.0000 0.3945
Dy2 Dy 0.0000 0.5000 0.5000
Y1 Y 0.0000 0.3165 0.0000
Y2 Y 0.0000 0.5000 0.2360
```

## Properties
Its energy relative to the lowest polymorph listed for this composition is 0.000 eV/atom. The value obtained for the formation energy is 0.124 eV per atom.

---

[4]
The following is a GGA-PBE calculation of an optimized crystal structure of TlSbRu, from Alexandria.

Cell and atoms, written as CIF:
```
data_TlSbRu
_chemical_formula_sum 'Tl2 Sb2 Ru2'
_symmetry_space_group_name_H-M 'P 4/n m m'
_symmetry_Int_Tables_number 129
_cell_length_a 4.4121
_cell_length_b 4.4121
_cell_length_c 8.2858
_cell_angle_alpha 90.00
_cell_angle_beta 90.00
_cell_angle_gamma 90.00
loop_
_symmetry_equiv_pos_as_xyz
'x,y,z'
'-x,-y,-z'
'-y+1/2,x,z'
'y+1/2,-x,-z'
'-x+1/2,-y+1/2,z'
'x+1/2,y+1/2,-z'
'y,-x+1/2,z'
'-y,x+1/2,-z'
'x+1/2,-y,-z'
'-x+1/2,y,z'
'-y,-x,-z'
'y,x,z'
'-x,y+1/2,-z'
'x,-y+1/2,z'
'y+1/2,x+1/2,-z'
'-y+1/2,-x+1/2,z'
loop_
_atom_site_label
_atom_site_type_symbol
_atom_site_fract_x
_atom_site_fract_y
_atom_site_fract_z
Tl1 Tl 0.2500 0.2500 0.1702
Sb1 Sb 0.2500 0.2500 0.6683
Ru1 Ru 0.2500 0.7500 0.5000
```

## Properties
Its energy relative to the lowest polymorph listed for this composition is 0.000 eV/atom. Its raw formation energy is 22 meV/atom.

---

[5]
The following is a GGA-PBE calculation of an optimized crystal structure of HfScH3, from Alexandria.

Cell and atoms, written as CIF:
```
data_HfScH3
_chemical_formula_sum 'Hf1 Sc1 H3'
_symmetry_space_group_name_H-M 'P m -3 m'
_symmetry_Int_Tables_number 221
_symmetry_space_group_name_Hall '-P 4 2 3'
_cell_length_a 3.7677
_cell_length_b 3.7677
_cell_length_c 3.7677
_cell_angle_alpha 90.00
_cell_angle_beta 90.00
_cell_angle_gamma 90.00
loop_
_atom_site_label
_atom_site_type_symbol
_atom_site_fract_x
_atom_site_fract_y
_atom_site_fract_z
Hf1 Hf 0.0000 0.0000 0.0000
Sc1 Sc 0.5000 0.5000 0.5000
H1 H 0.0000 0.0000 0.5000
```

## Properties
Its energy relative to the lowest polymorph listed for this composition is 0.208 eV/atom.

---

[6]
The following is a GGA-PBE calculation of an optimized crystal structure of DyHo2ErTm2, from Alexandria.

Cell and atoms, written as CIF:
```
data_DyHo2ErTm2
_chemical_formula_sum 'Dy2 Ho4 Er2 Tm4'
_symmetry_space_group_name_H-M 'P n n m'
_symmetry_Int_Tables_number 58
_cell_length_a 6.4587
_cell_length_b 17.4890
_cell_length_c 3.3454
_cell_angle_alpha 90.00
_cell_angle_beta 90.00
_cell_angle_gamma 90.00
loop_
_symmetry_equiv_pos_as_xyz
'x,y,z'
'-x,-y,-z'
'-x,-y,z'
'x,y,-z'
'x+1/2,-y+1/2,-z+1/2'
'-x+1/2,y+1/2,z+1/2'
'-x+1/2,y+1/2,-z+1/2'
'x+1/2,-y+1/2,z+1/2'
loop_
_atom_site_label
_atom_site_type_symbol
_atom_site_fract_x
_atom_site_fract_y
_atom_site_fract_z
Dy1 Dy 0.0000 0.0000 0.0000
Ho1 Ho 0.2304 0.3157 0.0000
Er1 Er 0.0000 0.5000 0.0000
Tm1 Tm 0.2288 0.1476 0.5000
```

## Properties
The value obtained for the formation energy is 0.286 eV per atom.

---

[7]
The following is a GGA-PBE calculation of an optimized crystal structure of K3Ce3AgSe8, from Alexandria.

Cell and atoms, written as CIF:
```
data_K3Ce3AgSe8
_chemical_formula_sum 'K6 Ce6 Ag2 Se16'
_symmetry_space_group_name_H-M 'C 1 2/m 1'
_symmetry_Int_Tables_number 12
_cell_length_a 14.6504
_cell_length_b 8.4667
_cell_length_c 9.1215
_cell_angle_alpha 90.00
_cell_angle_beta 122.36
_cell_angle_gamma 90.00
loop_
_symmetry_equiv_pos_as_xyz
'x,y,z'
'-x,-y,-z'
'-x,y,-z'
'x,-y,z'
'x+1/2,y+1/2,z'
'-x+1/2,-y+1/2,-z'
'-x+1/2,y+1/2,-z'
'x+1/2,-y+1/2,z'
loop_
_atom_site_label
_atom_site_type_symbol
_atom_site_fract_x
_atom_site_fract_y
_atom_site_fract_z
K1 K 0.0000 0.0000 0.0000
K2 K 0.2500 0.2500 0.0000
Ce1 Ce 0.0000 0.5000 0.5000
Ce2 Ce 0.2500 0.2500 0.5000
Ag1 Ag 0.0000 0.0000 0.5000
Se1 Se 0.0191 0.2586 0.2991
Se2 Se 0.2365 0.5000 0.7095
Se3 Se 0.2383 0.0000 0.7002
```

## Properties
Its raw formation energy is -1366 meV/atom.

---

[8]
The following is a GGA-PBE calculation of an optimized crystal structure of AgHg2P, from Alexandria.

Cell and atoms, written as CIF:
```
data_AgHg2P
_chemical_formula_sum 'Ag1 Hg2 P1'
_symmetry_space_group_name_H-M 'P m m m'
_symmetry_Int_Tables_number 47
_cell_length_a 2.9457
_cell_length_b 5.3587
_cell_length_c 5.4807
_cell_angle_alpha 90.00
_cell_angle_beta 90.00
_cell_angle_gamma 90.00
loop_
_symmetry_equiv_pos_as_xyz
'x,y,z'
'-x,-y,-z'
'-x,-y,z'
'x,y,-z'
'x,-y,-z'
'-x,y,z'
'-x,y,-z'
'x,-y,z'
loop_
_atom_site_label
_atom_site_type_symbol
_atom_site_fract_x
_atom_site_fract_y
_atom_site_fract_z
Ag1 Ag 0.0000 0.0000 0.0000
Hg1 Hg 0.0000 0.5000 0.5000
Hg2 Hg 0.5000 0.5000 0.0000
P1 P 0.0000 0.0000 0.5000
```

## Properties
The value obtained for the formation energy is 0.294 eV per atom.

---

Repeat the second record exactly.
The following is a GGA-PBE calculation of an optimized crystal structure of YZnHgW2, from Alexandria.

Cell and atoms, written as CIF:
```
data_YZnHgW2
_chemical_formula_sum 'Y1 Zn1 Hg1 W2'
_symmetry_space_group_name_H-M 'P 4/m m m'
_symmetry_Int_Tables_number 123
_symmetry_space_group_name_Hall '-P 4 2'
_cell_length_a 4.9959
_cell_length_b 4.9959
_cell_length_c 5.1855
_cell_angle_alpha 90.00
_cell_angle_beta 90.00
_cell_angle_gamma 90.00
loop_
_atom_site_label
_atom_site_type_symbol
_atom_site_fract_x
_atom_site_fract_y
_atom_site_fract_z
Y1 Y 0.0000 0.0000 0.0000
Zn1 Zn 0.0000 0.0000 0.5000
Hg1 Hg 0.5000 0.5000 0.5000
W1 W 0.0000 0.5000 0.0000
```

## Properties
The value obtained for the formation energy is 2.471 eV per atom.

---

Q: Which formula does entry 8 have?
A: AgHg2P